No. 1
Density functional theory data (GGA-PBE) for a geometry-optimized Ga2SbC structure.

a = 5.5404 Å, b = 5.5404 Å, c = 10.1447 Å
α = 90.00°, β = 90.00°, γ = 90.00°
With the nearest neighbours (Å) after each atom.
Space group I-42d (No. 122)
Symmetry-distinct sites (fractional):
Ga 0.1399 0.2500 0.1250 [8 per cell]  2 C 2.03
Sb 0.0000 0.0000 0.5000 [4 per cell]  4 Ga 2.74
C 0.0000 0.0000 0.0000 [4 per cell]  4 Ga 2.03

Summary:
Spin magnetization = 0.000 μB/f.u.
Energy relative to the elements, uncorrected = 0.39 eV/atom



No. 2
Density functional theory data (GGA-PBE) for a geometry-optimized Sc4GaSbC structure.

a = 6.2479 Å, b = 14.6364 Å, c = 6.2492 Å
α = 90.00°, β = 90.00°, γ = 90.00°
With the nearest neighbours (Å) after each atom.
Space group Cmcm (No. 63)
Symmetry-distinct sites (fractional):
Sc 0.0000 0.0879 0.2500 [4 per cell]  1 C 2.35
Sc 0.0000 0.4039 0.2500 [4 per cell]  1 C 2.28
Sc 0.2500 0.2500 0.0000 [8 per cell]  2 C 2.21
Ga 0.0000 0.1134 0.7500 [4 per cell]  9 Sc 2.95-3.15
Sb 0.0000 0.3945 0.7500 [4 per cell]  9 Sc 2.95-3.13
C 0.0000 0.2481 0.2500 [4 per cell]  6 Sc 2.21-2.35

Summary:
Spin magnetization = 0.000 μB/f.u.
Energy relative to the elements, uncorrected = -0.73 eV/atom



No. 3
Density functional theory data (GGA-PBE) for a geometry-optimized Sm4GaSbC structure.

a = 6.9310 Å, b = 15.8852 Å, c = 6.9289 Å
α = 90.00°, β = 90.00°, γ = 90.00°
With the nearest neighbours (Å) after each atom.
Space group Cmcm (No. 63)
Symmetry-distinct sites (fractional):
Sm 0.0000 0.0815 0.2500 [4 per cell]  1 C 2.66
Sm 0.0000 0.4101 0.2500 [4 per cell]  1 C 2.56
Sm 0.2500 0.2500 0.0000 [8 per cell]  2 C 2.45
Ga 0.0000 0.1168 0.7500 [4 per cell]  9 Sm 3.15-3.51
Sb 0.0000 0.3905 0.7500 [4 per cell]  9 Sm 3.17-3.49
C 0.0000 0.2491 0.2500 [4 per cell]  6 Sm 2.45-2.66

Summary:
Spin magnetization = 0.000 μB/f.u.
Energy relative to the elements, uncorrected = -0.55 eV/atom



No. 4
Density functional theory data (GGA-PBE) for a geometry-optimized SrGaSbC2 structure.

a = 4.7148 Å, b = 4.7148 Å, c = 5.6672 Å
α = 90.00°, β = 90.00°, γ = 90.00°
With the nearest neighbours (Å) after each atom.
Space group P4/mmm (No. 123)
Symmetry-distinct sites (fractional):
Sr 0.0000 0.0000 0.0000 [1 per cell]  4 C 2.36
Ga 0.0000 0.0000 0.5000 [1 per cell]  2 Sr 2.83
Sb 0.5000 0.5000 0.5000 [1 per cell]  4 Ga 3.33, 8 C 3.69
C 0.0000 0.5000 0.0000 [2 per cell]  2 Sr 2.36

Summary:
Spin magnetization = 0.751 μB/f.u.
Energy relative to the elements, uncorrected = 2.47 eV/atom



No. 5
Density functional theory data (GGA-PBE) for a geometry-optimized GaSb2TeC structure.

a = 4.7796 Å, b = 4.7796 Å, c = 4.9478 Å
α = 90.00°, β = 90.00°, γ = 90.00°
With the nearest neighbours (Å) after each atom.
Space group P4/mmm (No. 123)
Symmetry-distinct sites (fractional):
Ga 0.0000 0.0000 0.0000 [1 per cell]  4 Te 3.38, 8 Sb 3.44
Sb 0.0000 0.5000 0.5000 [2 per cell]  2 C 2.39
Te 0.5000 0.5000 0.0000 [1 per cell]  2 C 2.47
C 0.5000 0.5000 0.5000 [1 per cell]  4 Sb 2.39, 2 Te 2.47

Summary:
Spin magnetization = 0.000 μB/f.u.
Energy relative to the elements, uncorrected = 0.92 eV/atom



No. 6
Density functional theory data (GGA-PBE) for a geometry-optimized GaSb2TeC structure.

a = 5.3194 Å, b = 5.3194 Å, c = 5.3338 Å
α = 90.00°, β = 90.00°, γ = 90.00°
With the nearest neighbours (Å) after each atom.
Space group P4/mmm (No. 123)
Symmetry-distinct sites (fractional):
Ga 0.0000 0.0000 0.0000 [1 per cell]  4 Sb 2.66, 2 Te 2.67
Sb 0.0000 0.5000 0.0000 [2 per cell]  2 Ga 2.66
Te 0.0000 0.0000 0.5000 [1 per cell]  2 Ga 2.67
C 0.5000 0.5000 0.5000 [1 per cell]  4 Te 3.76, 8 Sb 3.77

Summary:
Spin magnetization = 1.602 μB/f.u.
Energy relative to the elements, uncorrected = 1.85 eV/atom



No. 7
Density functional theory data (GGA-PBE) for a geometry-optimized Tm4GaSbC structure.

a = 6.6241 Å, b = 15.3300 Å, c = 6.6223 Å
α = 90.00°, β = 90.00°, γ = 90.00°
With the nearest neighbours (Å) after each atom.
Space group Cmcm (No. 63)
Symmetry-distinct sites (fractional):
Tm 0.0000 0.0836 0.2500 [4 per cell]  1 C 2.54
Tm 0.0000 0.4070 0.2500 [4 per cell]  1 C 2.42
Tm 0.2500 0.2500 0.0000 [8 per cell]  2 C 2.34
Ga 0.0000 0.1158 0.7500 [4 per cell]  9 Tm 3.06-3.35
Sb 0.0000 0.3924 0.7500 [4 per cell]  9 Tm 3.08-3.33
C 0.0000 0.2491 0.2500 [4 per cell]  6 Tm 2.34-2.54

Summary:
Spin magnetization = 0.000 μB/f.u.
Energy relative to the elements, uncorrected = -0.66 eV/atom



No. 8
Density functional theory data (GGA-PBE) for a geometry-optimized Ga2SbWC structure.

a = 5.1133 Å, b = 5.1133 Å, c = 3.9999 Å
α = 90.00°, β = 90.00°, γ = 90.00°
With the nearest neighbours (Å) after each atom.
Space group P4/mmm (No. 123)
Symmetry-distinct sites (fractional):
Ga 0.0000 0.5000 0.0000 [2 per cell]  2 W 2.56
Sb 0.0000 0.0000 0.5000 [1 per cell]  8 Ga 3.25, 4 C 3.62
W 0.5000 0.5000 0.0000 [1 per cell]  2 C 2.00
C 0.5000 0.5000 0.5000 [1 per cell]  2 W 2.00

Summary:
Spin magnetization = 0.000 μB/f.u.
Energy relative to the elements, uncorrected = 0.98 eV/atom



No. 9
Density functional theory data (GGA-PBE) for a geometry-optimized GaSbW2C structure.

a = 4.3558 Å, b = 4.3558 Å, c = 4.0270 Å
α = 90.00°, β = 90.00°, γ = 90.00°
With the nearest neighbours (Å) after each atom.
Space group P4/mmm (No. 123)
Symmetry-distinct sites (fractional):
Ga 0.0000 0.0000 0.0000 [1 per cell]  2 C 2.01
Sb 0.5000 0.5000 0.0000 [1 per cell]  8 W 2.97, 4 Ga 3.08
W 0.0000 0.5000 0.5000 [2 per cell]  2 C 2.18
C 0.0000 0.0000 0.5000 [1 per cell]  2 Ga 2.01, 4 W 2.18

Summary:
Spin magnetization = 0.000 μB/f.u.
Energy relative to the elements, uncorrected = 0.78 eV/atom



No. 10
Density functional theory data (GGA-PBE) for a geometry-optimized ZrGaSb2C structure.

a = 5.6099 Å, b = 5.6099 Å, c = 3.5523 Å
α = 90.00°, β = 90.00°, γ = 90.00°
With the nearest neighbours (Å) after each atom.
Space group P4/mmm (No. 123)
Symmetry-distinct sites (fractional):
Zr 0.0000 0.0000 0.0000 [1 per cell]  8 Sb 3.32, 2 Zr 3.55
Ga 0.5000 0.5000 0.5000 [1 per cell]  2 C 1.78
Sb 0.0000 0.5000 0.5000 [2 per cell]  2 Ga 2.80
C 0.5000 0.5000 0.0000 [1 per cell]  2 Ga 1.78

Summary:
Spin magnetization = 0.000 μB/f.u.
Energy relative to the elements, uncorrected = 0.94 eV/atom



No. 11
Density functional theory data (GGA-PBE) for a geometry-optimized Sc6Ga2C structure.

a = 6.2924 Å, b = 6.2924 Å, c = 8.8917 Å
α = 90.00°, β = 90.00°, γ = 90.00°
With the nearest neighbours (Å) after each atom.
Space group I4/mmm (No. 139)
Symmetry-distinct sites (fractional):
Sc 0.0000 0.0000 0.2472 [4 per cell]  1 C 2.20
Sc 0.2469 0.2469 0.0000 [8 per cell]  1 C 2.20
Ga 0.0000 0.5000 0.2500 [4 per cell]  12 Sc 3.15
C 0.0000 0.0000 0.0000 [2 per cell]  6 Sc 2.20

Summary:
Spin magnetization = 0.000 μB/f.u.
ΔE_f = -0.522 eV per atom



No. 12
Density functional theory data (GGA-PBE) for a geometry-optimized Sc6Ga3C structure.

a = 5.9675 Å, b = 7.3376 Å, c = 10.4940 Å
α = 90.00°, β = 119.25°, γ = 90.00°
With the nearest neighbours (Å) after each atom.
Space group P2_1/c (No. 14)
Symmetry-distinct sites (fractional):
Sc 0.0849 0.0423 0.2290 [4 per cell]  1 C 2.22
Sc 0.1719 0.7102 0.0572 [4 per cell]  1 C 2.31
Sc 0.3763 0.1503 0.0538 [4 per cell]  1 C 2.31
Ga 0.3249 0.1174 0.7481 [4 per cell]  7 Sc 2.78-3.08
Ga 0.5000 0.0000 0.5000 [2 per cell]  6 Sc 2.73-2.80
C 0.0000 0.0000 0.0000 [2 per cell]  6 Sc 2.22-2.31

Summary:
Spin magnetization = 0.000 μB/f.u.
ΔE_f = -0.461 eV per atom



Look up the spin magnetization of the tenth one.
0.000 μB/f.u.



spin magnetization of number 6 (GaSb2TeC)?
1.602 μB/f.u.